## Mn5Al12Os3 (PBE)

Data for a relaxed Mn5Al12Os3 crystal.

```
Mn5Al12Os3
1.0
12.738 0.000 0.000
-4.246 12.010 0.000
-4.246 -6.005 10.401
Os Mn Al
12 20 48
Direct
0.750 0.375 0.125 Os
0.875 0.750 0.125 Os
0.375 0.750 0.625 Os
0.250 0.125 0.375 Os
0.875 0.125 0.250 Os
0.375 0.625 0.250 Os
0.625 0.375 0.750 Os
0.125 0.875 0.750 Os
0.750 0.875 0.625 Os
0.625 0.250 0.375 Os
0.125 0.250 0.875 Os
0.250 0.625 0.875 Os
0.125 0.375 0.250 Mn
0.000 0.500 0.000 Mn
0.000 0.000 0.000 Mn
0.375 0.250 0.125 Mn
0.500 0.000 0.500 Mn
0.500 0.500 0.000 Mn
0.125 0.750 0.375 Mn
0.750 0.125 0.875 Mn
0.750 0.625 0.375 Mn
0.375 0.125 0.750 Mn
0.625 0.875 0.250 Mn
0.500 0.500 0.500 Mn
0.500 0.000 0.000 Mn
0.000 0.000 0.500 Mn
0.250 0.375 0.625 Mn
0.250 0.875 0.125 Mn
0.000 0.500 0.500 Mn
0.875 0.250 0.625 Mn
0.625 0.750 0.875 Mn
0.875 0.625 0.750 Mn
0.730 0.146 0.073 Al
0.344 0.573 0.427 Al
0.927 0.354 0.270 Al
0.573 0.230 0.146 Al
0.584 0.730 0.656 Al
0.927 0.573 0.156 Al
0.344 0.770 0.416 Al
0.073 0.916 0.146 Al
0.573 0.927 0.656 Al
0.730 0.584 0.156 Al
0.770 0.427 0.354 Al
0.844 0.927 0.073 Al
0.146 0.730 0.573 Al
0.354 0.427 0.084 Al
0.084 0.927 0.354 Al
0.416 0.146 0.573 Al
0.084 0.156 0.230 Al
0.427 0.656 0.073 Al
0.844 0.916 0.270 Al
0.146 0.416 0.073 Al
0.354 0.927 0.770 Al
0.573 0.646 0.416 Al
0.927 0.844 0.573 Al
0.770 0.344 0.916 Al
0.427 0.354 0.584 Al
0.073 0.156 0.427 Al
0.230 0.656 0.084 Al
0.156 0.084 0.730 Al
0.646 0.073 0.230 Al
0.854 0.584 0.927 Al
0.573 0.344 0.927 Al
0.584 0.854 0.427 Al
0.916 0.844 0.770 Al
0.916 0.073 0.646 Al
0.854 0.270 0.427 Al
0.156 0.073 0.927 Al
0.646 0.573 0.916 Al
0.427 0.073 0.344 Al
0.270 0.416 0.844 Al
0.230 0.573 0.646 Al
0.927 0.084 0.854 Al
0.656 0.230 0.584 Al
0.427 0.770 0.854 Al
0.073 0.427 0.844 Al
0.416 0.270 0.344 Al
0.073 0.646 0.730 Al
0.656 0.427 0.573 Al
0.270 0.854 0.927 Al
```

## Properties
For the formation energy, the calculation gives 981 kJ/mol of formula units. The calculation puts the density of states at the Fermi level at 0.751 states/eV per atom.